Entry 1:
VASP calculation (meta-GGA SCAN) on HgIrPb at its PBEsol-relaxed geometry.

Relative energy among the computed polymorphs: 293.4 meV/atom
Formation energy from the elements: 0.93 eV per atom
V: 22.59 A^3/atom
Crystal system: cubic
Space group: F-43m

a = 4.576 Å, b = 4.576 Å, c = 4.576 Å
α = 60.00°, β = 60.00°, γ = 60.00°
Positions (direct):
Hg 0.000 0.000 0.000
Ir 0.500 0.500 0.500
Pb 0.250 0.250 0.250

Entry 2:
VASP calculation (meta-GGA SCAN) on Li3Mg2 at its PBEsol-relaxed geometry.

Formation energy from the elements: -0.03 eV per atom
V: 20.49 A^3/atom
Crystal system: trigonal
Space group: R-3m

a = 12.562 Å, b = 12.562 Å, c = 12.562 Å
α = 14.10°, β = 14.10°, γ = 14.10°
Positions (direct):
Li 0.000 0.000 0.000
Li 0.200 0.200 0.200
Li 0.800 0.800 0.800
Mg 0.400 0.400 0.400
Mg 0.600 0.600 0.600

Entry 3:
VASP calculation (meta-GGA SCAN) on MgZrAg2 at its PBEsol-relaxed geometry.

Formation energy from the elements: -0.06 eV per atom
V: 18.69 A^3/atom
Crystal system: monoclinic
Space group: Cm

a = 5.172 Å, b = 5.172 Å, c = 5.186 Å
α = 99.73°, β = 99.73°, γ = 33.20°
Positions (direct):
Mg 0.000 0.000 0.000
Zr 0.231 0.231 0.662
Ag 0.481 0.481 0.472
Ag 0.746 0.746 0.170

Entry 4:
VASP calculation (meta-GGA SCAN) on K2LiSbF6 at its PBEsol-relaxed geometry.

V: 14.94 A^3/atom
Crystal system: cubic
Formation energy from raw total energies: -2.754 eV/atom
Space group: Fm-3m

a = 5.957 Å, b = 5.957 Å, c = 5.957 Å
α = 60.00°, β = 60.00°, γ = 60.00°
Positions (direct):
K 0.250 0.250 0.250
K 0.750 0.750 0.750
Li 0.000 0.000 0.000
Sb 0.500 0.500 0.500
F 0.242 0.242 0.758
F 0.242 0.758 0.242
F 0.242 0.758 0.758
F 0.758 0.242 0.242
F 0.758 0.242 0.758
F 0.758 0.758 0.242

Entry 5:
VASP calculation (meta-GGA SCAN) on Ca3SbI3 at its PBEsol-relaxed geometry.

V: 35.66 A^3/atom
Crystal system: cubic
Formation energy from raw total energies: -1.575 eV/atom
Space group: I4_132

a = 10.906 Å, b = 10.906 Å, c = 10.906 Å
α = 109.47°, β = 109.47°, γ = 109.47°
Positions (direct):
Ca 0.008 0.015 0.258
Ca 0.008 0.492 0.750
Ca 0.015 0.258 0.008
Ca 0.242 0.258 0.750
Ca 0.242 0.485 0.492
Ca 0.258 0.008 0.015
Ca 0.258 0.750 0.242
Ca 0.485 0.492 0.242
Ca 0.492 0.242 0.485
Ca 0.492 0.750 0.008
Ca 0.750 0.008 0.492
Ca 0.750 0.242 0.258
Sb 0.000 0.250 0.500
Sb 0.250 0.250 0.250
Sb 0.250 0.500 0.000
Sb 0.500 0.000 0.250
I 0.250 0.753 0.747
I 0.250 0.997 0.503
I 0.503 0.250 0.997
I 0.503 0.753 0.506
I 0.506 0.503 0.753
I 0.747 0.250 0.753
I 0.747 0.997 0.994
I 0.753 0.506 0.503
I 0.753 0.747 0.250
I 0.994 0.747 0.997
I 0.997 0.503 0.250
I 0.997 0.994 0.747

Entry 6:
VASP calculation (meta-GGA SCAN) on FeHPd3 at its PBEsol-relaxed geometry.

Uncorrected energy: -120.6 eV/cell
V: 11.77 A^3/atom
Crystal system: cubic
Space group: Pm-3m

a = 3.890 Å, b = 3.890 Å, c = 3.890 Å
α = 90.00°, β = 90.00°, γ = 90.00°
Positions (direct):
Fe 0.000 0.000 0.000
H 0.500 0.500 0.500
Pd 0.000 0.500 0.500
Pd 0.500 0.000 0.500
Pd 0.500 0.500 0.000

Entry 7:
VASP calculation (meta-GGA SCAN) on ScAl2Hg at its PBEsol-relaxed geometry.

Formation energy from the elements: -0.34 eV per atom
V: 19.11 A^3/atom
Crystal system: orthorhombic
Space group: Pmmm

a = 3.103 Å, b = 4.396 Å, c = 5.602 Å
α = 90.00°, β = 90.00°, γ = 90.00°
Positions (direct):
Sc 0.000 0.000 0.000
Al 0.500 0.500 0.233
Al 0.500 0.500 0.767
Hg 0.500 0.000 0.500

Entry 8:
VASP calculation (meta-GGA SCAN) on CaTl2TeAu at its PBEsol-relaxed geometry.

V: 35.34 A^3/atom
Crystal system: tetragonal
Formation energy from raw total energies: 0.279 eV/atom
Space group: P4/mmm

a = 5.879 Å, b = 5.879 Å, c = 5.112 Å
α = 90.00°, β = 90.00°, γ = 90.00°
Positions (direct):
Ca 0.000 0.000 0.000
Tl 0.000 0.500 0.000
Tl 0.500 0.000 0.000
Te 0.500 0.500 0.500
Au 0.000 0.000 0.500

Entry 9:
VASP calculation (meta-GGA SCAN) on CuTc at its PBEsol-relaxed geometry.

Relative energy among the computed polymorphs: 88.4 meV/atom
Formation energy from the elements: 0.18 eV per atom
V: 12.78 A^3/atom
Crystal system: monoclinic
Space group: C2/m

a = 4.520 Å, b = 4.520 Å, c = 4.662 Å
α = 96.99°, β = 96.99°, γ = 32.77°
Positions (direct):
Cu 0.127 0.127 0.397
Cu 0.873 0.873 0.603
Tc 0.380 0.380 0.109
Tc 0.620 0.620 0.891

Entry 10:
VASP calculation (meta-GGA SCAN) on LiHf2Zr at its PBEsol-relaxed geometry.

Formation energy from the elements: 0.59 eV per atom
V: 20.73 A^3/atom
Crystal system: tetragonal
Space group: I-42d

a = 10.494 Å, b = 10.494 Å, c = 10.494 Å
α = 157.73°, β = 157.73°, γ = 31.70°
Positions (direct):
Li 0.000 0.000 0.000
Li 0.750 0.250 0.500
Hf 0.125 0.625 0.000
Hf 0.375 0.375 0.500
Hf 0.625 0.125 0.000
Hf 0.875 0.875 0.500
Zr 0.250 0.750 0.500
Zr 0.500 0.500 0.000

Entry 11:
VASP calculation (meta-GGA SCAN) on SrCrW3 at its PBEsol-relaxed geometry.

Formation energy from the elements: 1.56 eV per atom
V: 19.77 A^3/atom
Crystal system: cubic
Space group: Pm-3m

a = 4.624 Å, b = 4.624 Å, c = 4.624 Å
α = 90.00°, β = 90.00°, γ = 90.00°
Positions (direct):
Sr 0.000 0.000 0.000
Cr 0.500 0.500 0.500
W 0.000 0.500 0.500
W 0.500 0.000 0.500
W 0.500 0.500 0.000

Entry 12:
VASP calculation (meta-GGA SCAN) on AlSi3Ni2 at its PBEsol-relaxed geometry.

V: 13.16 A^3/atom
Crystal system: hexagonal
Formation energy from raw total energies: 0.019 eV/atom
Space group: P6/mmm

a = 4.880 Å, b = 4.880 Å, c = 3.828 Å
α = 90.00°, β = 90.00°, γ = 120.00°
Positions (direct):
Al 0.000 0.000 0.000
Si 0.000 0.500 0.500
Si 0.500 0.000 0.500
Si 0.500 0.500 0.500
Ni 0.333 0.667 0.000
Ni 0.667 0.333 0.000

| no. | total moment (μB/cell) |
| --- | --- |
| 1 | 0.0 |
| 2 | 0.0 |
| 3 | 0.0 |
| 4 | 0.0 |
| 5 | 0.0 |
| 6 | 4.4 |
| 7 | 0.0 |
| 8 | 0.0 |
| 9 | 0.0 |
| 10 | 0.0 |
| 11 | 0.0 |
| 12 | 0.0 |